# 1
First-principles (PBE) data for a geometry-optimized K2Np2AsSe2 structure, as listed in Alexandria via LeMat-Bulk.

abc: 5.4245 5.4245 9.1092
angles: 107.32 107.32 90.00
Closest atoms and distances in Å follow each position.
Fractional coordinates of all 7 atoms:
Np 0.0000 0.5000 0.0000  2 As 2.71
Np 0.5000 0.0000 0.0000  2 As 2.71
K 0.1945 0.1945 0.3889  1 As 3.21, 1 Se 3.29
Se 0.6067 0.6067 0.2134  4 Np 3.24, 1 K 3.29, 1 Se 3.53
As 0.0000 0.0000 0.0000  4 Np 2.71
Se 0.3933 0.3933 0.7866  4 Np 3.24, 1 K 3.29, 1 Se 3.53
K 0.8055 0.8055 0.6111  1 As 3.21, 1 Se 3.29

Summary:
The total energy comes out at -44.0 eV/f.u. The value obtained for the calculated volume is 243.1 Å³ per cell. Its symmetry is I4/mmm.

***

# 2
First-principles (PBE) data for a geometry-optimized KNp2Te4As structure, as listed in Alexandria via LeMat-Bulk.

abc: 4.3151 9.5224 13.9511
angles: 90.00 90.00 103.10
Closest atoms and distances in Å follow each position.
Fractional coordinates of all 16 atoms:
Np 0.5848 0.1696 0.3872  2 As 2.94, 5 Te 3.00-3.18
Np 0.5848 0.1696 0.1128  2 As 2.94, 5 Te 3.00-3.18
Te 0.7902 0.5804 0.9075  1 As 2.80
Te 0.2098 0.4196 0.4075  1 As 2.80
Te 0.7902 0.5804 0.5925  1 As 2.80
Te 0.4601 0.9203 0.2500  2 Np 3.00
Te 0.5399 0.0797 0.7500  2 Np 3.00
As 0.8834 0.7668 0.7500  2 Te 2.80, 4 Np 2.94
As 0.1166 0.2332 0.2500  2 Te 2.80, 4 Np 2.94
Np 0.4152 0.8304 0.6128  2 As 2.94, 5 Te 3.00-3.18
K 0.1863 0.3725 0.7500  6 Te 3.47-3.63
Te 0.0000 0.0000 0.5000  4 Np 3.10
K 0.8137 0.6275 0.2500  6 Te 3.47-3.63
Te 0.2098 0.4196 0.0925  1 As 2.80
Np 0.4152 0.8304 0.8872  2 As 2.94, 5 Te 3.00-3.18
Te 0.0000 0.0000 0.0000  4 Np 3.10

Summary:
The total energy comes out at -48.6 eV/f.u. The value obtained for the calculated volume is 558.3 Å³ per cell. Its symmetry is Cmcm.

***

# 3
First-principles (PBE) data for a geometry-optimized K2AsO structure, as listed in Alexandria via LeMat-Bulk.

abc: 10.9770 10.9770 8.0387
angles: 46.94 46.94 90.00
Closest atoms and distances in Å follow each position.
Fractional coordinates of all 8 atoms:
As 0.0000 0.0000 0.0000  2 O 2.09
O 0.2500 0.7500 0.5000  2 As 2.09
O 0.5000 0.5000 0.0000  2 As 2.09
K 0.3750 0.5921 0.7500  2 O 2.82
K 0.4079 0.1250 0.2500  2 O 2.82
K 0.8750 0.6579 0.7500  2 O 2.82
As 0.7500 0.2500 0.5000  2 O 2.09
K 0.3421 0.6250 0.2500  2 O 2.82

Summary:
The total energy comes out at -14.3 eV/f.u. The value obtained for the calculated volume is 252.0 Å³ per cell. Its energy above the most stable polymorph in this dataset is 0 meV/atom. Its symmetry is I-42d.

***

Number 1: D(E_F) 17.01 states/eV per cell, formation energy (no corrections) -4.29 eV/f.u.. Number 2: D(E_F) 43.90 states/eV per cell, formation energy (no corrections) -4.38 eV/f.u.. Number 3: D(E_F) 6.30 states/eV per cell, formation energy (no corrections) -2.45 eV/f.u..